# 1
Below is a geometry-optimized LiScWO2 structure, with properties calculated at the PBE+U level.

Summary:
M_tot ... 0.96 Bohr magnetons per cell
Uncorrected energy ... -28.41 eV/cell
N(E_F) ... 3.655 states/eV/f.u.
Space group ... P4/mmm, No. 123

Cell lengths 3.976, 5.122, 3.976 Å; angles 90.00, 90.00, 90.00 degrees
Each line ends with the local moment (μB).
Fractional coordinates of all 5 atoms:
1 Li 0.000 0.500 0.000  -0.04
2 O 0.000 0.000 0.500  0.01
3 O 0.500 0.000 0.000  -0.02
4 W 0.000 0.000 0.000  1.46
5 Sc 0.500 0.500 0.500  -0.41


# 2
Below is a geometry-optimized LiScW2O8 structure, with properties calculated at the PBE+U level.

Summary:
M_tot ... 0.00 Bohr magnetons per cell
Uncorrected energy ... -181.85 eV/cell
N(E_F) ... 0.000 states/eV/f.u.
Space group ... C2/c, No. 15

Cell lengths 7.582, 7.582, 5.056 Å; angles 89.03, 89.03, 100.99 degrees
Fractional coordinates of all 24 atoms:
1 O 0.811 0.431 0.893
2 O 0.306 0.406 0.558
3 O 0.189 0.569 0.107
4 O 0.800 0.915 0.571
5 O 0.944 0.304 0.403
6 O 0.694 0.594 0.442
7 O 0.569 0.189 0.607
8 O 0.431 0.811 0.393
9 O 0.085 0.200 0.929
10 O 0.594 0.694 0.942
11 O 0.915 0.800 0.071
12 O 0.406 0.306 0.058
13 O 0.696 0.056 0.097
14 O 0.200 0.085 0.429
15 O 0.056 0.696 0.597
16 O 0.304 0.944 0.903
17 W 0.342 0.169 0.746
18 W 0.831 0.658 0.754
19 W 0.169 0.342 0.246
20 W 0.658 0.831 0.254
21 Li 0.655 0.345 0.250
22 Li 0.345 0.655 0.750
23 Sc 0.832 0.168 0.750
24 Sc 0.168 0.832 0.250


Please write out number 2 again, unchanged.
Below is a geometry-optimized LiScW2O8 structure, with properties calculated at the PBE+U level.

Summary:
M_tot ... 0.00 Bohr magnetons per cell
Uncorrected energy ... -181.85 eV/cell
N(E_F) ... 0.000 states/eV/f.u.
Space group ... C2/c, No. 15

Cell lengths 7.582, 7.582, 5.056 Å; angles 89.03, 89.03, 100.99 degrees
Fractional coordinates of all 24 atoms:
1 O 0.811 0.431 0.893
2 O 0.306 0.406 0.558
3 O 0.189 0.569 0.107
4 O 0.800 0.915 0.571
5 O 0.944 0.304 0.403
6 O 0.694 0.594 0.442
7 O 0.569 0.189 0.607
8 O 0.431 0.811 0.393
9 O 0.085 0.200 0.929
10 O 0.594 0.694 0.942
11 O 0.915 0.800 0.071
12 O 0.406 0.306 0.058
13 O 0.696 0.056 0.097
14 O 0.200 0.085 0.429
15 O 0.056 0.696 0.597
16 O 0.304 0.944 0.903
17 W 0.342 0.169 0.746
18 W 0.831 0.658 0.754
19 W 0.169 0.342 0.246
20 W 0.658 0.831 0.254
21 Li 0.655 0.345 0.250
22 Li 0.345 0.655 0.750
23 Sc 0.832 0.168 0.750
24 Sc 0.168 0.832 0.250